# TaAg2Se

An optimized crystal structure of TaAg2Se (PBEsol, Alexandria via LeMat-Bulk).

abc: 3.0983 3.0983 8.9623
angles: 80.05 80.05 60.00
Closest atoms and distances in Å follow each position.
Sites, in units of the cell vectors:
Ag: 0.9978 0.9978 0.0065  9 Ag 2.83-3.10, 3 Ta 2.90
Ag: 0.7478 0.7478 0.7567  9 Ag 2.83-3.10, 3 Se 3.08
Ta: 0.2447 0.2447 0.2660  3 Se 2.54
Se: 0.5097 0.5097 0.4709  3 Ta 2.54

Results
symmetry	R3m (160)
total DFT energy (no corrections)	-23.2	eV/cell
size of the total moment	0.0	Bohr magnetons per cell